--- A ---
Here is a geometry-optimized MnCo2Br structure from Alexandria. Energies are from PBE.

The volume is 57.78 Å³/cell. The calculation puts the total moment at 7.51 μB/f.u.

Lattice parameters (Å, degrees): 5.042 5.042 5.042 137.53 137.53 61.62
Sites, in units of the cell vectors:
Br: 0.750 0.250 0.500
Co: 0.000 0.000 0.000
Co: 0.500 0.500 0.000
Mn: 0.250 0.750 0.500

=====

--- B ---
Here is a geometry-optimized MnCo2Br structure from Alexandria. Energies are from PBE.

The volume is 135.98 Å³/cell. The calculation puts the total moment at 0.00 μB/f.u.

Lattice parameters (Å, degrees): 5.548 5.548 5.908 62.00 62.00 90.00
Sites, in units of the cell vectors:
Mn: 0.500 0.500 0.000
Mn: 0.250 0.750 0.500
Co: 0.588 0.125 0.250
Co: 0.162 0.625 0.250
Co: 0.375 0.412 0.750
Co: 0.875 0.838 0.750
Br: 0.000 0.000 0.000
Br: 0.750 0.250 0.500

=====

Top of the stability list: A, leading by 0.236 eV/atom.

=====

--- A ---
Here is a geometry-optimized Mn3CoBr structure from Alexandria. Energies are from PBE.

The volume is 99.51 Å³/cell. The calculation puts the total moment at 13.30 μB/f.u.

Lattice parameters (Å, degrees): 4.634 4.634 4.634 90.00 90.00 90.00
Sites, in units of the cell vectors:
Mn: 0.000 0.500 0.000
Mn: 0.000 0.000 0.500
Mn: 0.500 0.000 0.000
Co: 0.000 0.000 0.000
Br: 0.500 0.500 0.500

=====

--- B ---
Here is a geometry-optimized Mn3CoBr structure from Alexandria. Energies are from PBE.

The volume is 75.71 Å³/cell. The calculation puts the total moment at 0.00 μB/f.u.

Lattice parameters (Å, degrees): 4.230 4.230 4.230 90.00 90.00 90.00
Sites, in units of the cell vectors:
Mn: 0.000 0.500 0.000
Mn: 0.000 0.000 0.500
Mn: 0.500 0.000 0.000
Co: 0.500 0.500 0.500
Br: 0.000 0.000 0.000

=====

Top of the stability list: A, leading by 0.999 eV/atom.

=====

--- A ---
Here is a geometry-optimized CoMoBr2 structure from Alexandria. Energies are from PBE.

The volume is 83.66 Å³/cell. The calculation puts the total moment at 5.51 μB/f.u.

Lattice parameters (Å, degrees): 6.478 6.478 6.478 146.23 146.23 48.51
Sites, in units of the cell vectors:
Br: 0.000 0.000 0.000
Br: 0.250 0.750 0.500
Co: 0.500 0.500 0.000
Mo: 0.750 0.250 0.500

=====

--- B ---
Here is a geometry-optimized CoMoBr2 structure from Alexandria. Energies are from PBE.

The volume is 75.51 Å³/cell. The calculation puts the total moment at 1.23 μB/f.u.

Lattice parameters (Å, degrees): 8.522 8.522 8.522 21.90 21.90 21.90
Sites, in units of the cell vectors:
Mo: 0.500 0.500 0.500
Co: 0.000 0.000 0.000
Br: 0.908 0.908 0.908
Br: 0.092 0.092 0.092

=====

--- C ---
Here is a geometry-optimized CoMoBr2 structure from Alexandria. Energies are from PBE.

The volume is 82.55 Å³/cell. The calculation puts the total moment at 0.58 μB/f.u.

Lattice parameters (Å, degrees): 3.190 3.190 8.113 90.00 90.00 90.00
Sites, in units of the cell vectors:
Br: 0.000 0.000 0.913
Br: 0.500 0.500 0.366
Co: 0.000 0.000 0.533
Mo: 0.500 0.500 0.689

=====

--- D ---
Here is a geometry-optimized CoMoBr2 structure from Alexandria. Energies are from PBE.

The volume is 68.88 Å³/cell. The calculation puts the total moment at 0.51 μB/f.u.

Lattice parameters (Å, degrees): 8.046 8.046 8.046 22.84 22.84 22.84
Sites, in units of the cell vectors:
Br: 0.998 0.998 0.998
Br: 0.502 0.502 0.502
Co: 0.250 0.250 0.250
Mo: 0.750 0.750 0.750

=====

Top of the stability list: C, leading by 0.375 eV/atom.

=====

--- A ---
Here is a geometry-optimized CoMoBr2 structure from Alexandria. Energies are from PBE.

The volume is 91.78 Å³/cell. The calculation puts the total moment at 0.40 μB/f.u.

Lattice parameters (Å, degrees): 8.705 8.705 8.705 157.53 158.64 31.20
Sites, in units of the cell vectors:
Br: 0.006 0.006 0.000
Br: 0.738 0.238 0.500
Co: 0.421 0.421 0.000
Mo: 0.335 0.835 0.500

=====

--- B ---
Here is a geometry-optimized CoMoBr2 structure from Alexandria. Energies are from PBE.

The volume is 77.26 Å³/cell. The calculation puts the total moment at 1.57 μB/f.u.

Lattice parameters (Å, degrees): 4.781 4.781 4.781 60.00 60.00 60.00
Sites, in units of the cell vectors:
Br: 0.000 0.000 0.000
Br: 0.250 0.250 0.250
Co: 0.500 0.500 0.500
Mo: 0.750 0.750 0.750

=====

Top of the stability list: A, leading by 0.775 eV/atom.